FeHBr2 | the Alexandria database | GGA-PBE | optimized geometry; density of states at the Fermi level = 15.33 states/eV/cell; calculated total energy = -12.7 eV per cell
1.0
0.000 3.329 3.329
3.329 0.000 3.329
3.329 3.329 0.000
Fe H Br
1 1 2
direct
0.000 0.000 0.000
0.500 0.500 0.500
0.250 0.250 0.250
0.750 0.750 0.750